[1]
Material: Rb3NaTiO4
Method: DFT, GGA-PBEsol
State: optimized geometry

Geometry as POSCAR:
```
Rb3NaTiO4
1.0
6.400 0.000 0.000
0.000 10.672 0.009
0.000 -4.149 9.969
Rb Na O Ti
12 4 16 4
Direct
0.844 0.039 0.171
0.377 0.320 0.896
0.123 0.320 0.396
0.389 0.545 0.690
0.889 0.455 0.810
0.656 0.039 0.671
0.111 0.545 0.190
0.344 0.961 0.329
0.623 0.680 0.104
0.156 0.961 0.829
0.877 0.680 0.604
0.611 0.455 0.310
0.615 0.873 0.892
0.385 0.127 0.108
0.885 0.873 0.392
0.115 0.127 0.608
0.250 0.588 0.955
0.429 0.235 0.602
0.159 0.887 0.538
0.659 0.113 0.962
0.982 0.207 0.822
0.250 0.588 0.455
0.341 0.887 0.038
0.518 0.207 0.322
0.482 0.793 0.678
0.750 0.412 0.045
0.018 0.793 0.178
0.071 0.235 0.102
0.929 0.765 0.898
0.750 0.412 0.545
0.841 0.113 0.462
0.571 0.765 0.398
0.364 0.758 0.514
0.864 0.242 0.986
0.636 0.242 0.486
0.136 0.758 0.014
```

Summary:
Density of states at the Fermi level   0.00 states/eV per cell
Symmetry   P2_1/c
Uncorrected formation energy   -2.067 eV per atom
Calculated total energy   -209.6 eV/cell

[2]
Material: LaSb2Au
Method: DFT, GGA-PBEsol
State: optimized geometry

Geometry as POSCAR:
```
LaSb2Au
1.0
-0.644 -1.274 -5.010
-0.923 -4.951 -1.331
-4.705 -1.393 -1.749
Sb La Au
2 1 1
Direct
0.250 0.250 0.250
0.750 0.750 0.750
0.500 0.500 0.500
0.000 0.000 0.000
```

Summary:
Density of states at the Fermi level   3.52 states/eV per cell
Symmetry   Fm-3m
Uncorrected formation energy   -0.368 eV per atom
Calculated total energy   -19.9 eV/cell

[3]
Material: TaIn2Pt
Method: DFT, GGA-PBEsol
State: optimized geometry

Geometry as POSCAR:
```
TaIn2Pt
1.0
-1.478 2.645 -0.211
-3.407 -1.960 -0.700
-1.140 -0.158 5.993
Ta In Pt
1 2 1
Direct
0.500 0.500 0.737
0.000 0.000 0.985
0.500 0.500 0.264
0.000 0.000 0.514
```

Summary:
Density of states at the Fermi level   2.33 states/eV per cell
Formation energy from the elements   -22 kJ/mol of formula units
Symmetry   Pmm2
Calculated total energy   -25.7 eV/cell
ΔE to the lowest computed polymorph   0 meV/atom

[4]
Material: KZnFe2Si
Method: DFT, GGA-PBEsol
State: optimized geometry

Geometry as POSCAR:
```
KZnFe2Si
1.0
-4.385 0.022 -0.149
-0.034 -4.374 0.343
-0.166 0.388 4.940
K Si Fe Zn
1 1 2 1
Direct
0.000 0.000 0.000
0.500 0.500 0.500
0.000 0.500 0.000
0.500 0.000 0.000
0.000 0.000 0.500
```

Summary:
Density of states at the Fermi level   5.73 states/eV per cell
Symmetry   P4/mmm
Uncorrected formation energy   2.381 eV per atom
Calculated total energy   -14.5 eV/cell

[5]
Material: FeSnNF2
Method: DFT, GGA-PBEsol
State: optimized geometry

Geometry as POSCAR:
```
FeSnNF2
1.0
3.806 0.000 0.000
0.000 4.037 0.000
0.000 0.000 4.037
N F Sn Fe
1 2 1 1
Direct
0.500 0.000 0.000
0.000 0.500 0.000
0.000 0.000 0.500
0.500 0.500 0.500
0.000 0.000 0.000
```

Summary:
Density of states at the Fermi level   3.30 states/eV per cell
Symmetry   P4/mmm
Uncorrected formation energy   -0.814 eV per atom
Calculated total energy   -29.7 eV/cell
ΔE to the lowest computed polymorph   0 meV/atom

[6]
Material: CaSi
Method: DFT, GGA-PBEsol
State: optimized geometry

Geometry as POSCAR:
```
CaSi
1.0
3.868 0.000 0.000
0.000 5.755 0.000
0.000 0.000 8.272
Si Ca
4 4
Direct
0.750 0.385 0.036
0.750 0.115 0.536
0.250 0.615 0.964
0.250 0.885 0.464
0.250 0.389 0.320
0.750 0.611 0.680
0.750 0.889 0.180
0.250 0.111 0.820
```

Summary:
Density of states at the Fermi level   2.88 states/eV per cell
Symmetry   Pnma
Uncorrected formation energy   -0.577 eV per atom
Calculated total energy   -36.1 eV/cell

no.,ρ (g cm⁻³)
1,3.816
2,9.626
3,13.592
4,4.250
5,6.065
6,2.459